{"formula": "Ba2NaSr", "functional": "SCAN", "state": "PBEsol geometry", "dos_at_fermi_per_ev_fu": 5.7, "delta_e_f_ev_per_fu": 0.30, "spacegroup": "Fm-3m, No. 225", "lattice_angstrom": [[6.7232, 0.0000, 0.0000], [3.3616, 5.8224, 0.0000], [3.3616, 1.9408, 5.4895]], "species": ["Na", "Sr", "Ba", "Ba"], "fractional_positions": [[0.0000, 0.0000, 0.0000], [0.5000, 0.5000, 0.5000], [0.2500, 0.2500, 0.2500], [0.7500, 0.7500, 0.7500]]}

{"formula": "BaNa3Sr", "functional": "SCAN", "state": "PBEsol geometry", "dos_at_fermi_per_ev_fu": 5.2, "delta_e_f_ev_per_fu": 2.60, "spacegroup": "Pm-3m, No. 221", "lattice_angstrom": [[6.5195, 0.0000, 0.0000], [0.0000, 6.5195, 0.0000], [0.0000, 0.0000, 6.5195]], "species": ["Na", "Na", "Na", "Ba", "Sr"], "fractional_positions": [[0.5000, 0.0000, 0.0000], [0.0000, 0.5000, 0.0000], [0.0000, 0.0000, 0.5000], [0.0000, 0.0000, 0.0000], [0.5000, 0.5000, 0.5000]]}

{"formula": "BaNaTe2", "functional": "SCAN", "state": "PBEsol geometry", "raw_formation_energy_ev_per_atom": -1.178, "dos_at_fermi_per_ev_fu": 5.2, "spacegroup": "Fm-3m, No. 225", "lattice_angstrom": [[-3.5751, 4.2748, -1.3011], [-5.4313, -0.1617, 1.7954], [-1.7744, 3.5935, 4.0849]], "species": ["Ba", "Te", "Te", "Na"], "fractional_positions": [[0.0000, 0.0000, 0.0000], [0.7500, 0.7500, 0.7500], [0.2500, 0.2500, 0.2500], [0.5000, 0.5000, 0.5000]]}

{"formula": "BaNaTi2", "functional": "SCAN", "state": "PBEsol geometry", "dos_at_fermi_per_ev_fu": 7.4, "delta_e_f_ev_per_fu": 4.63, "spacegroup": "Fm-3m, No. 225", "lattice_angstrom": [[5.2635, 0.0000, 0.0000], [2.6318, 4.5583, 0.0000], [2.6318, 1.5194, 4.2976]], "species": ["Ba", "Ti", "Ti", "Na"], "fractional_positions": [[0.5000, 0.5000, 0.5000], [0.7500, 0.7500, 0.7500], [0.2500, 0.2500, 0.2500], [0.0000, 0.0000, 0.0000]]}

{"formula": "Ba2NaTiW", "functional": "SCAN", "state": "PBEsol geometry", "dos_at_fermi_per_ev_fu": 4.3, "delta_e_f_ev_per_fu": 4.45, "spacegroup": "P4/mmm, No. 123", "lattice_angstrom": [[4.7255, 0.0000, 0.0000], [0.0000, 6.2357, 0.0000], [0.0000, 0.0000, 6.2357]], "species": ["Ba", "Ba", "Na", "W", "Ti"], "fractional_positions": [[0.0000, 0.0000, 0.5000], [0.0000, 0.5000, 0.0000], [0.5000, 0.5000, 0.5000], [0.0000, 0.0000, 0.0000], [0.5000, 0.0000, 0.0000]]}

{"formula": "BaNaTl3", "functional": "SCAN", "state": "PBEsol geometry", "dos_at_fermi_per_ev_fu": 4.9, "delta_e_f_ev_per_fu": 2.26, "spacegroup": "Pm-3m, No. 221", "lattice_angstrom": [[-0.9915, 2.3818, 5.7327], [4.9197, -3.2390, 2.1966], [3.7859, 4.8328, -1.3531]], "species": ["Tl", "Tl", "Tl", "Ba", "Na"], "fractional_positions": [[0.0000, 0.0000, 0.5000], [0.5000, 0.0000, 0.0000], [0.0000, 0.5000, 0.0000], [0.0000, 0.0000, 0.0000], [0.5000, 0.5000, 0.5000]]}

{"formula": "Ba2NaTl2", "functional": "SCAN", "state": "PBEsol geometry", "dos_at_fermi_per_ev_fu": 3.5, "relative_energy_mev_per_atom": 127, "delta_e_f_ev_per_fu": -1.48, "spacegroup": "I4/mmm, No. 139", "lattice_angstrom": [[-3.3073, -0.3787, -5.7574], [1.7094, -5.5976, 3.1582], [-3.1291, 2.2456, 5.4217]], "species": ["Ba", "Ba", "Tl", "Tl", "Na"], "fractional_positions": [[0.5000, 0.7500, 0.2500], [0.5000, 0.2500, 0.7500], [0.0000, 0.6502, 0.6502], [0.0000, 0.3498, 0.3498], [0.0000, 0.0000, 0.0000]]}

{"formula": "Ba2Na2Tl", "functional": "SCAN", "state": "PBEsol geometry", "dos_at_fermi_per_ev_fu": 3.2, "delta_e_f_ev_per_fu": -0.99, "spacegroup": "I4/mmm, No. 139", "lattice_angstrom": [[4.3563, 0.0000, 0.0000], [0.0000, 4.3563, 0.0000], [-2.1781, -2.1781, 10.9296]], "species": ["Ba", "Ba", "Na", "Na", "Tl"], "fractional_positions": [[0.5883, 0.5883, 0.1766], [0.4117, 0.4117, 0.8234], [0.2500, 0.7500, 0.5000], [0.7500, 0.2500, 0.5000], [0.0000, 0.0000, 0.0000]]}

{"formula": "Ba2NaTl2", "functional": "SCAN", "state": "PBEsol geometry", "dos_at_fermi_per_ev_fu": 3.4, "relative_energy_mev_per_atom": 0, "delta_e_f_ev_per_fu": -2.12, "spacegroup": "P4/mbm, No. 127", "lattice_angstrom": [[-1.2673, -3.7597, 1.2101], [6.6564, -0.0025, 6.9629], [-6.3104, 4.0692, 6.0341]], "species": ["Na", "Na", "Tl", "Tl", "Tl", "Tl", "Ba", "Ba", "Ba", "Ba"], "fractional_positions": [[0.0000, 0.5000, 0.5000], [0.0000, 0.0000, 0.0000], [0.0000, 0.1237, 0.3763], [0.0000, 0.3763, 0.8763], [0.0000, 0.6237, 0.1237], [0.0000, 0.8763, 0.6237], [0.5000, 0.8284, 0.3283], [0.5000, 0.6716, 0.8284], [0.5000, 0.1716, 0.6716], [0.5000, 0.3283, 0.1716]]}

{"formula": "BaNa3W", "functional": "SCAN", "state": "PBEsol geometry", "dos_at_fermi_per_ev_fu": 3.7, "delta_e_f_ev_per_fu": 10.56, "spacegroup": "Pm-3m, No. 221", "lattice_angstrom": [[-3.7895, 2.6553, -3.9640], [-4.7633, -2.3958, 2.9489], [-0.2735, 4.9330, 3.5659]], "species": ["Ba", "W", "Na", "Na", "Na"], "fractional_positions": [[0.0000, 0.0000, 0.0000], [0.5000, 0.5000, 0.5000], [0.5000, 0.0000, 0.0000], [0.0000, 0.5000, 0.0000], [0.0000, 0.0000, 0.5000]]}

{"formula": "Ba2NaZn2", "functional": "SCAN", "state": "PBEsol geometry", "dos_at_fermi_per_ev_fu": 4.2, "relative_energy_mev_per_atom": 0, "delta_e_f_ev_per_fu": -0.52, "spacegroup": "P4/mbm, No. 127", "lattice_angstrom": [[4.3779, 0.0000, 0.0000], [0.0000, 8.8551, 0.0000], [0.0000, 0.0000, 8.8551]], "species": ["Zn", "Zn", "Zn", "Zn", "Ba", "Ba", "Ba", "Ba", "Na", "Na"], "fractional_positions": [[0.0000, 0.6101, 0.1101], [0.0000, 0.1101, 0.3899], [0.0000, 0.8899, 0.6101], [0.0000, 0.3899, 0.8899], [0.5000, 0.3233, 0.1767], [0.5000, 0.1767, 0.6767], [0.5000, 0.6767, 0.8233], [0.5000, 0.8233, 0.3233], [0.0000, 0.5000, 0.5000], [0.0000, 0.0000, 0.0000]]}

{"formula": "Ba3NaZn", "functional": "SCAN", "state": "PBEsol geometry", "dos_at_fermi_per_ev_fu": 4.7, "delta_e_f_ev_per_fu": -0.03, "spacegroup": "Pm-3m, No. 221", "lattice_angstrom": [[6.4301, 0.0000, 0.0000], [0.0000, 6.4301, 0.0000], [0.0000, 0.0000, 6.4301]], "species": ["Na", "Ba", "Ba", "Ba", "Zn"], "fractional_positions": [[0.5000, 0.5000, 0.5000], [0.0000, 0.0000, 0.5000], [0.5000, 0.0000, 0.0000], [0.0000, 0.5000, 0.0000], [0.0000, 0.0000, 0.0000]]}

Number 7 is which compound?
Ba2NaTl2

Which formula does entry 8 have?
Ba2Na2Tl